[1]
# GGA-PBE PaAl4Ga, optimized geometry
data_PaAl4Ga
_chemical_formula_sum 'Pa2 Al8 Ga2'
_cell_length_a 4.193
_cell_length_b 12.566
_cell_length_c 4.295
_cell_angle_alpha 90.00
_cell_angle_beta 90.00
_cell_angle_gamma 90.00
_space_group_name_H-M_alt 'C m m m'
_space_group_IT_number 65
_space_group_name_Hall '-C 2 2'
loop_
_atom_site_label
_atom_site_fract_x
_atom_site_fract_y
_atom_site_fract_z
Pa1 0.000 0.000 0.000
Al1 0.000 0.172 0.500
Al2 0.000 0.320 0.000
Ga1 0.000 0.500 0.500
# energy above the lowest structure with this stoichiometry: 0 meV/atom

[2]
VASP calculation (GGA-PBE) on a relaxed structure of Pa2AlGa4Pd3.

Geometry as CIF:
```
data_Pa2AlGa4Pd3
_chemical_formula_sum 'Pa2 Al1 Ga4 Pd3'
_cell_length_a 4.066
_cell_length_b 4.066
_cell_length_c 11.209
_cell_angle_alpha 90.00
_cell_angle_beta 90.00
_cell_angle_gamma 90.00
_space_group_name_H-M_alt 'P -4 m 2'
_space_group_IT_number 115
loop_
_space_group_symop_operation_xyz
'x,y,z'
'y,-x,-z'
'-x,-y,z'
'-y,x,-z'
'-x,y,z'
'-y,-x,-z'
'x,-y,z'
'y,x,-z'
loop_
_atom_site_label
_atom_site_fract_x
_atom_site_fract_y
_atom_site_fract_z
Pa1 0.000 0.500 0.244
Al1 0.000 0.000 0.500
Ga1 0.000 0.000 0.000
Ga2 0.000 0.500 0.638
Ga3 0.500 0.500 0.000
Pd1 0.000 0.500 0.856
Pd2 0.500 0.500 0.500
```

[3]
VASP calculation (GGA-PBE) on a relaxed structure of PaAlGaPd.

Geometry as CIF:
```
data_PaAlGaPd
_chemical_formula_sum 'Pa4 Al4 Ga4 Pd4'
_cell_length_a 6.743
_cell_length_b 6.743
_cell_length_c 6.743
_cell_angle_alpha 90.00
_cell_angle_beta 90.00
_cell_angle_gamma 90.00
_space_group_name_H-M_alt 'F -4 3 m'
_space_group_IT_number 216
_space_group_name_Hall 'F -4 2 3'
loop_
_atom_site_label
_atom_site_fract_x
_atom_site_fract_y
_atom_site_fract_z
Pa1 0.000 0.000 0.000
Al1 0.000 0.000 0.500
Ga1 0.250 0.250 0.250
Pd1 0.250 0.250 0.750
```

[4]
VASP calculation (GGA-PBE) on a relaxed structure of Pa2Al4GaPd3.

Geometry as CIF:
```
data_Pa2Al4GaPd3
_chemical_formula_sum 'Pa2 Al4 Ga1 Pd3'
_cell_length_a 4.201
_cell_length_b 4.201
_cell_length_c 10.514
_cell_angle_alpha 90.00
_cell_angle_beta 90.00
_cell_angle_gamma 90.00
_space_group_name_H-M_alt 'P -4 m 2'
_space_group_IT_number 115
loop_
_space_group_symop_operation_xyz
'x,y,z'
'y,-x,-z'
'-x,-y,z'
'-y,x,-z'
'-x,y,z'
'-y,-x,-z'
'x,-y,z'
'y,x,-z'
loop_
_atom_site_label
_atom_site_fract_x
_atom_site_fract_y
_atom_site_fract_z
Pa1 0.000 0.500 0.248
Al1 0.000 0.000 0.000
Al2 0.000 0.500 0.636
Al3 0.500 0.500 0.000
Ga1 0.000 0.000 0.500
Pd1 0.000 0.500 0.865
Pd2 0.500 0.500 0.500
```

[5]
VASP calculation (GGA-PBE) on a relaxed structure of PmPaAlGa.

Geometry as CIF:
```
data_PmPaAlGa
_chemical_formula_sum 'Pm4 Pa4 Al4 Ga4'
_cell_length_a 7.268
_cell_length_b 7.268
_cell_length_c 7.268
_cell_angle_alpha 90.00
_cell_angle_beta 90.00
_cell_angle_gamma 90.00
_space_group_name_H-M_alt 'F -4 3 m'
_space_group_IT_number 216
_space_group_name_Hall 'F -4 2 3'
loop_
_atom_site_label
_atom_site_fract_x
_atom_site_fract_y
_atom_site_fract_z
Pm1 0.000 0.000 0.000
Pa1 0.000 0.000 0.500
Al1 0.250 0.250 0.250
Ga1 0.250 0.250 0.750
```

[6]
VASP calculation (GGA-PBE) on a relaxed structure of PrPaAlGa.

Geometry as CIF:
```
data_PrPaAlGa
_chemical_formula_sum 'Pr4 Pa4 Al4 Ga4'
_cell_length_a 7.324
_cell_length_b 7.324
_cell_length_c 7.324
_cell_angle_alpha 90.00
_cell_angle_beta 90.00
_cell_angle_gamma 90.00
_space_group_name_H-M_alt 'F -4 3 m'
_space_group_IT_number 216
_space_group_name_Hall 'F -4 2 3'
loop_
_atom_site_label
_atom_site_fract_x
_atom_site_fract_y
_atom_site_fract_z
Pr1 0.000 0.000 0.000
Pa1 0.000 0.000 0.500
Al1 0.250 0.250 0.250
Ga1 0.250 0.250 0.750
```

[7]
VASP calculation (GGA-PBE) on a relaxed structure of PaAlGa2Pt4.

Geometry as CIF:
```
data_PaAlGa2Pt4
_chemical_formula_sum 'Pa3 Al3 Ga6 Pt12'
_cell_length_a 4.3267
_cell_length_b 4.3267
_cell_length_c 25.4025
_cell_angle_alpha 90.00
_cell_angle_beta 90.00
_cell_angle_gamma 120.00
_space_group_name_H-M_alt 'R -3 m'
_space_group_IT_number 166
_space_group_name_Hall '-R 3 2"'
loop_
_atom_site_label
_atom_site_fract_x
_atom_site_fract_y
_atom_site_fract_z
Pa1 0.0000 0.0000 0.0000
Al1 0.0000 0.0000 0.5000
Ga1 0.0000 0.0000 0.2454
Pt1 0.0000 0.0000 0.1350
Pt2 0.0000 0.0000 0.3967
```

[8]
VASP calculation (GGA-PBE) on a relaxed structure of PaAlGaPt3.

Geometry as CIF:
```
data_PaAlGaPt3
_chemical_formula_sum 'Pa4 Al4 Ga4 Pt12'
_cell_length_a 5.586
_cell_length_b 16.095
_cell_length_c 5.581
_cell_angle_alpha 90.00
_cell_angle_beta 90.00
_cell_angle_gamma 90.00
_space_group_name_H-M_alt 'C m c m'
_space_group_IT_number 63
_space_group_name_Hall '-C 2c 2'
loop_
_atom_site_label
_atom_site_fract_x
_atom_site_fract_y
_atom_site_fract_z
Pa1 0.000 0.198 0.250
Al1 0.000 0.407 0.750
Ga1 0.000 0.098 0.750
Pt1 0.000 0.254 0.750
Pt2 0.249 0.000 0.000
```

[9]
VASP calculation (GGA-PBE) on a relaxed structure of PaAl2GaPt4.

Geometry as CIF:
```
data_PaAl2GaPt4
_chemical_formula_sum 'Pa3 Al6 Ga3 Pt12'
_cell_length_a 4.2896
_cell_length_b 4.2896
_cell_length_c 25.8347
_cell_angle_alpha 90.00
_cell_angle_beta 90.00
_cell_angle_gamma 120.00
_space_group_name_H-M_alt 'R -3 m'
_space_group_IT_number 166
_space_group_name_Hall '-R 3 2"'
loop_
_atom_site_label
_atom_site_fract_x
_atom_site_fract_y
_atom_site_fract_z
Pa1 0.0000 0.0000 0.0000
Al1 0.0000 0.0000 0.2416
Ga1 0.0000 0.0000 0.5000
Pt1 0.0000 0.0000 0.1328
Pt2 0.0000 0.0000 0.3964
```

[10]
VASP calculation (GGA-PBE) on a relaxed structure of Pa2AlGa3Pt4.

Geometry as CIF:
```
data_Pa2AlGa3Pt4
_chemical_formula_sum 'Pa2 Al1 Ga3 Pt4'
_cell_length_a 4.100
_cell_length_b 4.100
_cell_length_c 10.980
_cell_angle_alpha 90.00
_cell_angle_beta 90.00
_cell_angle_gamma 90.00
_space_group_name_H-M_alt 'P -4 m 2'
_space_group_IT_number 115
loop_
_space_group_symop_operation_xyz
'x,y,z'
'y,-x,-z'
'-x,-y,z'
'-y,x,-z'
'-x,y,z'
'-y,-x,-z'
'x,-y,z'
'y,x,-z'
loop_
_atom_site_label
_atom_site_fract_x
_atom_site_fract_y
_atom_site_fract_z
Pa1 0.000 0.500 0.248
Al1 0.500 0.500 0.000
Ga1 0.000 0.000 0.000
Ga2 0.000 0.500 0.635
Pt1 0.000 0.000 0.500
Pt2 0.000 0.500 0.859
Pt3 0.500 0.500 0.500
```

[11]
VASP calculation (GGA-PBE) on a relaxed structure of PaAlGaRe.

Geometry as CIF:
```
data_PaAlGaRe
_chemical_formula_sum 'Pa3 Al3 Ga3 Re3'
_cell_length_a 4.5117
_cell_length_b 4.5117
_cell_length_c 13.3780
_cell_angle_alpha 90.00
_cell_angle_beta 90.00
_cell_angle_gamma 120.00
_space_group_name_H-M_alt 'R 3 m'
_space_group_IT_number 160
_space_group_name_Hall 'R 3 -2"'
loop_
_atom_site_label
_atom_site_fract_x
_atom_site_fract_y
_atom_site_fract_z
Pa1 0.0000 0.0000 0.0000
Al1 0.0000 0.0000 0.5397
Ga1 0.0000 0.0000 0.7836
Re1 0.0000 0.0000 0.1964
```

[12]
VASP calculation (GGA-PBE) on a relaxed structure of Pa2Al2GaRu5.

Geometry as CIF:
```
data_Pa2Al2GaRu5
_chemical_formula_sum 'Pa4 Al4 Ga2 Ru10'
_cell_length_a 9.862
_cell_length_b 9.862
_cell_length_c 3.453
_cell_angle_alpha 90.00
_cell_angle_beta 90.00
_cell_angle_gamma 90.00
_space_group_name_H-M_alt 'P 4/m b m'
_space_group_IT_number 127
_space_group_name_Hall '-P 4 2ab'
loop_
_atom_site_label
_atom_site_fract_x
_atom_site_fract_y
_atom_site_fract_z
Pa1 0.176 0.324 0.000
Al1 0.123 0.623 0.000
Ga1 0.000 0.000 0.000
Ru1 0.000 0.500 0.500
Ru2 0.085 0.801 0.500
```

no.,E_form (eV per formula unit)
1,-0.8
2,-5.5
3,-1.6
4,-5.9
5,-0.6
6,-0.5
7,-6.8
8,-3.9
9,-7.2
10,-8.2
11,-0.5
12,-4.5